Record 1
First-principles (PBE) data for a relaxed structure of YTaPb, as listed in Alexandria via LeMat-Bulk.

```
YTaPb
1.0
4.8870 0.0000 0.0000
2.4435 4.2323 0.0000
2.4435 1.4108 3.9902
Pb Ta Y
1 1 1
Direct
0.7500 0.7500 0.7500
0.0000 0.0000 0.0000
0.5000 0.5000 0.5000
```

Properties
Distance to the lowest polymorph of the same formula = 0.4191 eV/atom
Energy of formation from the pure elements = 635 meV per atom
Density = 9.6 g/cm3
M_tot = 0.291 μB/atom
Calculated volume = 27.51 Å³ per atom
Symmetry = F-43m
Crystal system = cubic



Record 2
First-principles (PBE) data for a relaxed structure of Cd2TcP, as listed in Alexandria via LeMat-Bulk.

```
Cd2TcP
1.0
-1.7852 -4.4269 2.0381
2.6695 -0.4613 1.3364
-1.3099 2.3201 3.8921
P Cd Tc
1 2 1
Direct
0.5000 0.5000 0.5000
0.0000 0.7576 0.2476
0.0000 0.2424 0.7524
0.5000 0.5000 0.0000
```

Properties
Energy of formation from the pure elements = 389 meV per atom
Density = 8.0 g/cm3
M_tot = 0.000 μB/atom
Calculated volume = 18.47 Å³ per atom
Symmetry = P2/m
Crystal system = monoclinic



Record 3
First-principles (PBE) data for a relaxed structure of KRbS2O8, as listed in Alexandria via LeMat-Bulk.

```
KRbS2O8
1.0
5.9457 0.0000 0.0000
2.9729 5.2910 0.0952
2.9729 2.0114 6.5985
O Rb K S
8 1 1 2
Direct
0.1162 0.4897 0.2779
0.1080 0.0884 0.2845
0.8920 0.9116 0.7155
0.5191 0.0884 0.2845
0.6559 0.6712 0.0169
0.8838 0.5103 0.7221
0.3441 0.3288 0.9831
0.4809 0.9116 0.7155
0.5000 0.5000 0.5000
0.0000 0.0000 0.0000
0.2697 0.2501 0.2104
0.7303 0.7499 0.7896
```

Properties
Density = 2.5 g/cm3
M_tot = 0.169 μB/atom
Calculated volume = 17.20 Å³ per atom
Formation energy (no corrections) = -1411 meV per atom
Symmetry = C2/m
Crystal system = monoclinic



Record 4
First-principles (PBE) data for a relaxed structure of Sb17S27, as listed in Alexandria via LeMat-Bulk.

```
Sb17S27
1.0
8.8941 -0.0480 -0.0706
-1.0658 8.8213 0.2691
-1.5651 -3.4103 15.0913
S Sb
27 17
Direct
0.8278 0.7222 0.7845
0.3134 0.3713 0.0050
0.8071 0.4878 0.5259
0.0221 0.3308 0.6786
0.7953 0.9544 0.6288
0.5075 0.7770 0.4614
0.5134 0.3969 0.7874
0.5294 0.1865 0.5317
0.7723 0.3139 0.1300
0.6713 0.6848 0.0023
0.1888 0.3060 0.2234
0.1620 0.8596 0.5348
0.8959 0.3900 0.9052
0.2435 0.0192 0.3588
0.2473 0.7147 0.8995
0.9825 0.0265 0.0081
0.5058 0.6287 0.2264
0.4159 0.9961 0.1343
0.4289 0.6252 0.6460
0.8221 0.9654 0.2240
0.5601 0.3319 0.3469
0.1685 0.9979 0.7663
0.5605 0.0539 0.8807
0.8831 0.6884 0.3622
0.1006 0.6526 0.1201
0.8694 0.1007 0.4309
0.1692 0.4562 0.4667
0.8976 0.0133 0.7892
0.0452 0.3430 0.0656
0.5469 0.0446 0.3753
0.2214 0.7161 0.3938
0.4445 0.8987 0.6065
0.4730 0.3236 0.1871
0.3683 0.6705 0.0644
0.6136 0.3612 0.9369
0.8826 0.3928 0.3766
0.0878 0.5830 0.6067
0.1606 0.0060 0.1976
0.7225 0.0134 0.0712
0.5288 0.6796 0.8068
0.7916 0.6721 0.2038
0.2897 0.0099 0.9204
0.8118 0.2091 0.5716
0.9431 0.6908 0.9474
```

Properties
Density = 4.1 g/cm3
M_tot = 0.000 μB/atom
Calculated volume = 27.05 Å³ per atom
Formation energy (no corrections) = -187 meV per atom
Symmetry = P1
Crystal system = triclinic



Record 5
First-principles (PBE) data for a relaxed structure of KAl2Pt, as listed in Alexandria via LeMat-Bulk.

```
KAl2Pt
1.0
-2.5210 1.8190 -1.2537
1.0973 -0.6200 -3.1060
-4.5985 -6.5866 -0.3099
K Al Pt
1 2 1
Direct
0.0000 0.0000 0.5156
0.5000 0.5000 0.1741
0.0000 0.0000 0.9617
0.5000 0.5000 0.8486
```

Properties
Energy of formation from the pure elements = -245 meV per atom
Density = 5.3 g/cm3
M_tot = 0.000 μB/atom
Calculated volume = 22.58 Å³ per atom
Symmetry = P4mm
Crystal system = tetragonal



Record 6
First-principles (PBE) data for a relaxed structure of PrGdAlPd, as listed in Alexandria via LeMat-Bulk.

```
PrGdAlPd
1.0
-2.4188 4.5601 -0.5586
-5.1600 0.1507 -0.5558
-2.9713 1.8495 3.8352
Pr Al Pd Gd
1 1 1 1
Direct
0.0000 0.0000 0.0000
0.2500 0.2500 0.2500
0.7500 0.7500 0.7500
0.5000 0.5000 0.5000
```

Properties
Energy of formation from the pure elements = -490 meV per atom
Density = 7.2 g/cm3
M_tot = 1.796 μB/atom
Calculated volume = 24.74 Å³ per atom
Symmetry = F-43m
Crystal system = cubic



Record 7
First-principles (PBE) data for a relaxed structure of Al2TcW, as listed in Alexandria via LeMat-Bulk.

```
Al2TcW
1.0
-2.8868 -1.3121 -8.2744
-5.2613 -1.9600 -6.8555
-4.6786 0.7477 -7.4882
Al Tc W
2 1 1
Direct
0.5030 0.5030 0.5030
0.9970 0.9970 0.9970
0.2500 0.2500 0.2500
0.7500 0.7500 0.7500
```

Properties
Distance to the lowest polymorph of the same formula = 0.2579 eV/atom
Energy of formation from the pure elements = -53 meV per atom
Density = 9.2 g/cm3
M_tot = 0.000 μB/atom
Calculated volume = 15.22 Å³ per atom
Symmetry = R-3m
Crystal system = trigonal



Record 8
First-principles (PBE) data for a relaxed structure of OsRu2Au, as listed in Alexandria via LeMat-Bulk.

```
OsRu2Au
1.0
2.7144 -0.0035 0.0000
-1.3051 2.3800 0.0000
0.0000 0.0000 9.5950
Os Ru Au
1 2 1
Direct
0.5000 0.5000 0.7662
0.5000 0.5000 0.2354
0.0000 0.0000 0.0006
0.0000 0.0000 0.4977
```

Properties
Distance to the lowest polymorph of the same formula = 0.3478 eV/atom
Energy of formation from the pure elements = 585 meV per atom
Density = 15.8 g/cm3
M_tot = 0.382 μB/atom
Calculated volume = 15.49 Å³ per atom
Symmetry = Cmm2
Crystal system = orthorhombic



Record 9
First-principles (PBE) data for a relaxed structure of LiTa3F, as listed in Alexandria via LeMat-Bulk.

```
LiTa3F
1.0
4.3215 0.0000 0.0000
0.0000 4.3215 0.0000
0.0000 0.0000 4.3215
Ta F Li
3 1 1
Direct
0.0000 0.5000 0.0000
0.5000 0.0000 0.0000
0.0000 0.0000 0.5000
0.0000 0.0000 0.0000
0.5000 0.5000 0.5000
```

Properties
Distance to the lowest polymorph of the same formula = 0.0000 eV/atom
Density = 11.7 g/cm3
M_tot = 0.000 μB/atom
Calculated volume = 16.14 Å³ per atom
Formation energy (no corrections) = 420 meV per atom
Symmetry = Pm-3m
Crystal system = cubic



Record 10
First-principles (PBE) data for a relaxed structure of PrDyTh2Sb5, as listed in Alexandria via LeMat-Bulk.

```
PrDyTh2Sb5
1.0
-4.8759 -0.4692 -1.9167
-1.7290 -1.4465 4.7525
-2.1093 11.1684 2.6319
Sb Dy Th Pr
5 1 2 1
Direct
0.0000 0.0000 0.2522
0.5000 0.5000 0.0000
0.5000 0.0000 0.5000
0.0000 0.0000 0.7478
0.0000 0.5000 0.5000
0.0000 0.0000 0.5000
0.5000 0.5000 0.3031
0.5000 0.5000 0.6969
0.0000 0.0000 0.0000
```

Properties
Density = 7.1 g/cm3
M_tot = 0.000 μB/atom
Calculated volume = 35.87 Å³ per atom
Formation energy (no corrections) = -211 meV per atom
Symmetry = P4/mmm
Crystal system = tetragonal



Record 11
First-principles (PBE) data for a relaxed structure of ZnInCl3, as listed in Alexandria via LeMat-Bulk.

```
ZnInCl3
1.0
-5.5154 1.2915 4.6239
4.6959 -3.9203 2.9369
3.1254 6.4589 1.3193
Zn Cl In
2 6 2
Direct
0.5101 0.9202 0.1320
0.6382 0.8775 0.6240
0.6061 0.1973 0.6478
0.2439 0.0105 0.1338
0.9371 0.8480 0.6481
0.8152 0.1628 0.1637
0.4863 0.6721 0.3335
0.4625 0.6823 0.8434
0.8445 0.5620 0.9628
0.1758 0.2305 0.4807
```

Properties
Distance to the lowest polymorph of the same formula = 0.0108 eV/atom
Density = 2.9 g/cm3
M_tot = 0.000 μB/atom
Calculated volume = 33.39 Å³ per atom
Formation energy (no corrections) = -1014 meV per atom
Symmetry = P1
Crystal system = triclinic



Record 12
First-principles (PBE) data for a relaxed structure of ScZn2Ga2Cu2, as listed in Alexandria via LeMat-Bulk.

```
ScZn2Ga2Cu2
1.0
-0.4722 2.8835 -2.8238
-1.4541 -4.0828 -1.0023
-5.5037 2.4261 3.3977
Zn Ga Cu Sc
2 2 2 1
Direct
0.4106 0.8213 0.3049
0.5894 0.1787 0.6951
0.7100 0.4201 0.2131
0.2900 0.5799 0.7869
0.1266 0.2532 0.4207
0.8734 0.7468 0.5793
0.0000 0.0000 0.0000
```

Properties
Energy of formation from the pure elements = -228 meV per atom
Density = 6.7 g/cm3
M_tot = 0.000 μB/atom
Calculated volume = 15.57 Å³ per atom
Symmetry = C2/m
Crystal system = monoclinic



Record 13
First-principles (PBE) data for a relaxed structure of AcMnTcGe2, as listed in Alexandria via LeMat-Bulk.

```
AcMnTcGe2
1.0
4.2420 0.0000 0.0000
0.0000 4.2420 0.0000
-2.1210 -2.1210 5.6001
Ge Ac Mn Tc
2 1 1 1
Direct
0.3685 0.3685 0.7370
0.6315 0.6315 0.2630
0.0000 0.0000 0.0000
0.2500 0.7500 0.5000
0.7500 0.2500 0.5000
```

Properties
Energy of formation from the pure elements = -423 meV per atom
Density = 8.7 g/cm3
M_tot = 0.467 μB/atom
Calculated volume = 20.15 Å³ per atom
Symmetry = I-4m2
Crystal system = tetragonal



Record 14
First-principles (PBE) data for a relaxed structure of VInN2Cl, as listed in Alexandria via LeMat-Bulk.

```
VInN2Cl
1.0
-2.2767 -0.3648 3.0364
-4.1202 -2.3509 -3.3717
1.4379 -3.4686 0.6614
In V N Cl
1 1 2 1
Direct
0.0000 0.5000 0.0000
0.0000 0.0000 0.0000
0.5000 0.0000 0.0000
0.0000 0.0000 0.5000
0.5000 0.5000 0.5000
```

Properties
Density = 4.5 g/cm3
M_tot = 0.082 μB/atom
Calculated volume = 16.92 Å³ per atom
Formation energy (no corrections) = 236 meV per atom
Symmetry = P4/mmm
Crystal system = tetragonal



Record 15
First-principles (PBE) data for a relaxed structure of LiFeCo, as listed in Alexandria via LeMat-Bulk.

```
LiFeCo
1.0
-2.2124 -2.9002 -1.9988
0.2412 -0.0628 4.1520
-3.9222 2.8057 0.2703
Li Co Fe
2 2 2
Direct
0.0000 0.0000 0.7500
0.0000 0.0000 0.2500
0.3333 0.6667 0.5000
0.6667 0.3333 0.0000
0.3333 0.6667 0.0000
0.6667 0.3333 0.5000
```

Properties
Distance to the lowest polymorph of the same formula = 0.0962 eV/atom
Energy of formation from the pure elements = 221 meV per atom
Density = 5.6 g/cm3
M_tot = 1.392 μB/atom
Calculated volume = 12.06 Å³ per atom
Symmetry = P6_3/mmc
Crystal system = hexagonal



Record 16
First-principles (PBE) data for a relaxed structure of In2PtRh, as listed in Alexandria via LeMat-Bulk.

```
In2PtRh
1.0
-2.9338 -6.6355 0.3313
3.2879 -1.7647 -6.2308
2.5368 -5.1676 -1.4305
In Pt Rh
4 2 2
Direct
0.1269 0.6250 0.2500
0.8750 0.8731 0.7500
0.3750 0.3769 0.7500
0.6231 0.1250 0.2500
0.0000 0.0000 0.0000
0.7500 0.2500 0.5000
0.2500 0.7500 0.5000
0.5000 0.5000 0.0000
```

Properties
Energy of formation from the pure elements = -72 meV per atom
Density = 11.2 g/cm3
M_tot = 0.000 μB/atom
Calculated volume = 19.57 Å³ per atom
Symmetry = I-42d
Crystal system = tetragonal



Record 17
First-principles (PBE) data for a relaxed structure of Mg2Nb2Tl, as listed in Alexandria via LeMat-Bulk.

```
Mg2Nb2Tl
1.0
-1.1493 -2.4566 2.6412
3.4208 -1.6214 -0.0196
3.5714 3.0297 7.0852
Mg Nb Tl
2 2 1
Direct
0.6006 0.6006 0.7988
0.3994 0.3994 0.2012
0.7500 0.2500 0.5000
0.2500 0.7500 0.5000
0.0000 0.0000 0.0000
```

Properties
Distance to the lowest polymorph of the same formula = 0.0000 eV/atom
Energy of formation from the pure elements = 446 meV per atom
Density = 6.3 g/cm3
M_tot = 0.000 μB/atom
Calculated volume = 23.10 Å³ per atom
Symmetry = I4/mmm
Crystal system = tetragonal



Record 18
First-principles (PBE) data for a relaxed structure of PRhSeBr2, as listed in Alexandria via LeMat-Bulk.

```
PRhSeBr2
1.0
-2.8007 0.2695 -4.1510
0.2954 -4.9787 -0.5225
-4.0725 -0.5265 2.7136
Se Br P Rh
1 2 1 1
Direct
0.0000 0.0000 0.5000
0.5000 0.0000 0.0000
0.0000 0.5000 0.0000
0.0000 0.0000 0.0000
0.5000 0.5000 0.5000
```

Properties
Distance to the lowest polymorph of the same formula = 0.1877 eV/atom
Density = 5.0 g/cm3
M_tot = 0.441 μB/atom
Calculated volume = 24.76 Å³ per atom
Formation energy (no corrections) = 817 meV per atom
Symmetry = P4/mmm
Crystal system = tetragonal



Record 19
First-principles (PBE) data for a relaxed structure of LiMn2Br, as listed in Alexandria via LeMat-Bulk.

```
LiMn2Br
1.0
-0.8505 -3.6725 -2.6538
3.0481 -1.2767 -3.2144
2.4538 -3.8631 0.5553
Br Mn Li
1 2 1
Direct
0.5000 0.5000 0.5000
0.2500 0.2500 0.2500
0.0000 0.0000 0.0000
0.7500 0.7500 0.7500
```

Properties
Distance to the lowest polymorph of the same formula = 0.4403 eV/atom
Density = 4.7 g/cm3
M_tot = 0.150 μB/atom
Calculated volume = 17.32 Å³ per atom
Formation energy (no corrections) = 496 meV per atom
Symmetry = F-43m
Crystal system = cubic



Record 20
First-principles (PBE) data for a relaxed structure of Y2ErPu, as listed in Alexandria via LeMat-Bulk.

```
Y2ErPu
1.0
3.5475 0.0000 0.0000
1.7737 3.0722 0.0000
1.7737 1.0241 11.3471
Y Pu Er
2 1 1
Direct
0.0828 0.0828 0.7516
0.2505 0.2505 0.2484
0.6663 0.6663 0.0012
0.5004 0.5004 0.4988
```

Properties
Distance to the lowest polymorph of the same formula = 0.0000 eV/atom
Energy of formation from the pure elements = 97 meV per atom
Density = 7.9 g/cm3
M_tot = 1.465 μB/atom
Calculated volume = 30.92 Å³ per atom
Symmetry = R3m
Crystal system = trigonal